No. 1
CeNp2PdS5: relaxed, PBE.

a = 7.4007 Å, b = 7.4007 Å, c = 8.4036 Å
α = 116.13°, β = 116.13°, γ = 90.00°
Last column: magnetic moment on the atom in μB.
Fractional coordinates of all 18 atoms:
S: 0.9632 0.4632 0.2738  -0.09
S: 0.1895 0.0368 0.7262  -0.09
S: 0.4632 0.3105 0.2738  -0.09
S: 0.8105 0.9632 0.2738  -0.09
S: 0.6895 0.1895 0.7262  -0.09
S: 0.5000 0.5000 0.0000  -0.10
S: 0.5368 0.6895 0.7262  -0.09
S: 0.0000 0.0000 0.0000  -0.10
S: 0.0368 0.5368 0.7262  -0.09
S: 0.3105 0.8105 0.2738  -0.09
Np: 0.3546 0.8546 0.0000  3.67
Np: 0.8546 0.6454 0.0000  3.67
Np: 0.6454 0.1454 0.0000  3.67
Np: 0.1454 0.3546 0.0000  3.67
Pd: 0.7500 0.2500 0.5000  -0.17
Pd: 0.2500 0.7500 0.5000  -0.17
Ce: 0.7500 0.7500 0.5000  0.92
Ce: 0.2500 0.2500 0.5000  0.92

Results
As for the total energy: -7.715 eV/atom. The value obtained for the calculated volume is 20.0 Å³/atom. The density of states at the Fermi level is 41.13 states/eV/cell.



No. 2
CeNpPdS3: relaxed, PBE.

a = 3.8940 Å, b = 7.9346 Å, c = 8.5189 Å
α = 102.21°, β = 90.00°, γ = 90.00°
Last column: magnetic moment on the atom in μB.
Fractional coordinates of all 12 atoms:
S: 0.7500 0.4173 0.1581  0.09
S: 0.7500 0.9029 0.1288  0.06
S: 0.2500 0.7426 0.5022  0.06
S: 0.2500 0.5827 0.8419  0.09
S: 0.7500 0.2574 0.4978  0.06
S: 0.2500 0.0971 0.8712  0.06
Np: 0.7500 0.3331 0.8269  -3.79
Np: 0.2500 0.6669 0.1731  -3.79
Ce: 0.7500 0.8242 0.7639  -0.84
Ce: 0.2500 0.1758 0.2361  -0.84
Pd: 0.7500 0.8930 0.4136  0.07
Pd: 0.2500 0.1070 0.5864  0.07

Results
As for the total energy: -7.476 eV/atom. The value obtained for the calculated volume is 21.4 Å³/atom. The density of states at the Fermi level is 25.62 states/eV/cell.



No. 3
Ce2NpPdSe5: relaxed, PBE.

a = 4.0442 Å, b = 8.8489 Å, c = 12.4824 Å
α = 90.00°, β = 90.00°, γ = 103.21°
Last column: magnetic moment on the atom in μB.
Fractional coordinates of all 18 atoms:
Se: 0.3028 0.6055 0.3573  -0.07
Se: 0.0134 0.0268 0.0259  -0.09
Se: 0.5024 0.0048 0.2390  -0.05
Se: 0.6922 0.3844 0.1875  -0.08
Se: 0.3078 0.6156 0.6875  -0.08
Se: 0.6556 0.3113 0.5209  -0.06
Se: 0.6972 0.3945 0.8573  -0.07
Se: 0.9866 0.9732 0.5259  -0.09
Se: 0.3444 0.6888 0.0209  -0.06
Se: 0.4976 0.9952 0.7390  -0.05
Ce: 0.1225 0.2451 0.6992  0.77
Ce: 0.8775 0.7549 0.1992  0.77
Ce: 0.1052 0.2104 0.3510  0.79
Ce: 0.8948 0.7896 0.8510  0.79
Pd: 0.5561 0.1122 0.9197  -0.12
Pd: 0.4439 0.8878 0.4197  -0.12
Np: 0.1780 0.3560 0.0235  3.69
Np: 0.8220 0.6440 0.5235  3.69

Results
As for the total energy: -6.641 eV/atom. The value obtained for the calculated volume is 24.2 Å³/atom. The density of states at the Fermi level is 44.79 states/eV/cell.



No. 4
CePmNp2Se4: relaxed, PBE.

a = 4.1501 Å, b = 7.1998 Å, c = 7.1712 Å
α = 109.43°, β = 90.00°, γ = 90.00°
Last column: magnetic moment on the atom in μB.
Fractional coordinates of all 8 atoms:
Np: 0.5000 0.0000 0.5000  4.07
Np: 0.0000 0.5000 0.5000  4.10
Pm: 0.0000 0.0000 0.0000  0.00
Se: 0.5000 0.7475 0.7421  -0.04
Se: 0.5000 0.2525 0.2579  -0.04
Se: 0.0000 0.2467 0.7413  -0.05
Se: 0.0000 0.7533 0.2587  -0.05
Ce: 0.5000 0.5000 0.0000  0.85

Results
As for the total energy: -7.775 eV/atom. The value obtained for the calculated volume is 25.3 Å³/atom. The density of states at the Fermi level is 17.69 states/eV/cell.



No. 5
Ce2PrNp: relaxed, PBE.

a = 3.6120 Å, b = 3.6120 Å, c = 10.3306 Å
α = 79.93°, β = 79.93°, γ = 60.00°
Fractional coordinates of all 4 atoms:
Ce: 0.8853 0.8853 0.3442
Ce: 0.1147 0.1147 0.6558
Np: 0.5000 0.5000 0.5000
Pr: 0.0000 0.0000 0.0000

Results
The value obtained for the calculated volume is 28.6 Å³/atom. The density of states at the Fermi level is 7.26 states/eV/cell. The calculation puts the formation energy at 0.4169 eV per atom.



No. 6
Ce2PrNpSb4: relaxed, PBE.

a = 4.4925 Å, b = 7.7945 Å, c = 7.7578 Å
α = 109.47°, β = 90.00°, γ = 90.00°
Last column: magnetic moment on the atom in μB.
Fractional coordinates of all 8 atoms:
Pr: 0.0000 0.0000 0.0000  0.02
Ce: 0.5000 0.0000 0.5000  0.75
Ce: 0.0000 0.5000 0.5000  0.71
Sb: 0.5000 0.2555 0.2520  -0.04
Sb: 0.5000 0.7445 0.7480  -0.04
Sb: 0.0000 0.7447 0.2479  -0.06
Sb: 0.0000 0.2553 0.7521  -0.06
Np: 0.5000 0.5000 0.0000  3.93

Results
As for the total energy: -6.623 eV/atom. The value obtained for the calculated volume is 32.0 Å³/atom. The density of states at the Fermi level is 23.78 states/eV/cell.



No. 7
CePrNp2Sb4: relaxed, PBE.

a = 4.4427 Å, b = 7.7898 Å, c = 7.7138 Å
α = 109.17°, β = 90.00°, γ = 90.00°
Last column: magnetic moment on the atom in μB.
Fractional coordinates of all 8 atoms:
Np: 0.0000 0.5000 0.5000  3.89
Np: 0.5000 0.0000 0.5000  -3.92
Sb: 0.0000 0.2500 0.7433  0.01
Sb: 0.5000 0.2551 0.2596  -0.03
Sb: 0.0000 0.7500 0.2567  0.01
Sb: 0.5000 0.7449 0.7404  -0.03
Pr: 0.0000 0.0000 0.0000  -0.01
Ce: 0.5000 0.5000 0.0000  0.74

Results
As for the total energy: -7.270 eV/atom. The value obtained for the calculated volume is 31.5 Å³/atom. The density of states at the Fermi level is 29.21 states/eV/cell.



No. 8
CeNpPt: relaxed, PBE.

a = 6.2450 Å, b = 4.9321 Å, c = 7.8500 Å
α = 95.78°, β = 90.00°, γ = 90.00°
Fractional coordinates of all 12 atoms:
Ce: 0.3836 0.0673 0.6916
Ce: 0.1164 0.5673 0.6916
Ce: 0.6164 0.9327 0.3084
Ce: 0.8836 0.4327 0.3084
Np: 0.7581 0.8781 0.9902
Np: 0.2581 0.6219 0.0098
Np: 0.2419 0.1219 0.0098
Np: 0.7419 0.3781 0.9902
Pt: 0.8768 0.0614 0.6559
Pt: 0.6232 0.5614 0.6559
Pt: 0.3768 0.4386 0.3441
Pt: 0.1232 0.9386 0.3441

Results
The value obtained for the calculated volume is 20.0 Å³/atom. The density of states at the Fermi level is 23.07 states/eV/cell. The calculation puts the formation energy at -0.4348 eV per atom.